[1]
{
  "formula": "ScCuC",
  "functional": "PBE-GGA",
  "state": "optimized geometry",
  "energy_ev_per_atom": -6.57,
  "space_group": "No. 160",
  "n_ef_per_ev_atom": 0.27,
  "e_form_ev_per_fu": -0.1,
  "magmom_total_mub_per_fu": 0.0,
  "lattice_angstrom": [[3.5855, -0.0058, 0.0061], [1.7969, 3.1033, 0.0059], [-0.0065, 2.0700, 6.7576]],
  "species": ["Sc", "Sc", "Cu", "Cu", "C", "C"],
  "frac_coords": [[0.8518, 0.8316, 0.8633], [0.6892, 0.1566, 0.3754], [0.4333, 0.6675, 0.6088], [0.2621, 0.0106, 0.0940], [0.5725, 0.3900, 0.0251], [0.0818, 0.3710, 0.5535]]
}



[2]
{
  "formula": "KGeIrPt",
  "functional": "PBE-GGA",
  "state": "optimized geometry",
  "energy_ev_per_atom": -5.25,
  "space_group": "No. 129",
  "n_ef_per_ev_atom": 0.96,
  "e_form_ev_per_fu": -0.4,
  "magmom_total_mub_per_fu": 0.0,
  "lattice_angstrom": [[-2.1673, 2.4616, 1.9898], [-2.9221, -0.6293, -2.4044], [-4.1653, -9.8417, 7.6383]],
  "species": ["K", "K", "Ge", "Ge", "Pt", "Pt", "Ir", "Ir"],
  "frac_coords": [[0.7500, 0.7500, 0.2893], [0.2500, 0.2500, 0.7107], [0.7500, 0.7500, 0.8787], [0.2500, 0.2500, 0.1213], [0.2500, 0.7500, 0.5000], [0.7500, 0.2500, 0.5000], [0.2500, 0.7500, 0.0000], [0.7500, 0.2500, 0.0000]]
}